Record 1
ScNi2WI | meta-GGA SCAN | PBEsol geometry

Lattice parameters (Å, degrees): 4.4849 4.4849 5.1105 90.00 90.00 90.00
Closest atoms and distances in Å follow each position.
Fractional coordinates of all 5 atoms:
Ni (0.0000, 0.5000, 0.0000)  2 I 2.24
Ni (0.5000, 0.0000, 0.0000)  2 I 2.24
W (0.5000, 0.5000, 0.5000)  4 Sc 3.17, 8 Ni 3.40
Sc (0.0000, 0.0000, 0.5000)  2 I 2.56
I (0.0000, 0.0000, 0.0000)  4 Ni 2.24

The crystal system is tetragonal. The mass density comes out at 7.6 g cm⁻³. For the uncorrected formation energy, the calculation gives 1.62 eV per atom. The calculation puts the total DFT energy (no corrections) at -28.981 eV/atom. As for the space group: P4/mmm (123).



Record 2
CaScPt | meta-GGA SCAN | PBEsol geometry

Lattice parameters (Å, degrees): 4.5597 4.5597 4.5597 60.00 60.00 60.00
Closest atoms and distances in Å follow each position.
Fractional coordinates of all 3 atoms:
Pt (0.5000, 0.5000, 0.5000)  4 Sc 2.79
Ca (0.0000, 0.0000, 0.0000)  4 Sc 2.79
Sc (0.2500, 0.2500, 0.2500)  4 Ca 2.79, 4 Pt 2.79

As for the energy of formation from the pure elements: -280 meV/atom. The crystal system is cubic. The mass density comes out at 6.9 g cm⁻³. The calculation puts the total DFT energy (no corrections) at -31.645 eV/atom. As for the space group: F-43m (216).



Volume: 20.56, 22.34 (Å³ per atom)